Record 1
# Sm2Te3

Sm2Te3 after structural relaxation (GGA-PBE, Alexandria via LeMat-Bulk).

Computed properties:
Formation energy without anion corrections in eV per atom: -1.44

```
data_Sm2Te3
_chemical_formula_sum 'Sm8 Te12'
_symmetry_space_group_name_H-M 'P n m a'
_symmetry_Int_Tables_number 62
_symmetry_space_group_name_Hall '-P 2ac 2n'
_cell_length_a 12.233
_cell_length_b 4.382
_cell_length_c 11.938
_cell_angle_alpha 90.00
_cell_angle_beta 90.00
_cell_angle_gamma 90.00
loop_
_atom_site_label
_atom_site_fract_x
_atom_site_fract_y
_atom_site_fract_z
Sm1 0.017 0.250 0.188
Sm2 0.197 0.250 0.497
Te1 0.042 0.750 0.377
Te2 0.119 0.250 0.943
Te3 0.225 0.750 0.697
```



Record 2
# SmY2Pd9

SmY2Pd9 after structural relaxation (GGA-PBE, Alexandria via LeMat-Bulk).

Computed properties:
Formation energy in eV/atom: -0.829

```
data_SmY2Pd9
_chemical_formula_sum 'Sm1 Y2 Pd9'
_symmetry_space_group_name_H-M 'P 4/m m m'
_symmetry_Int_Tables_number 123
_symmetry_space_group_name_Hall '-P 4 2'
_cell_length_a 4.150
_cell_length_b 4.150
_cell_length_c 12.435
_cell_angle_alpha 90.00
_cell_angle_beta 90.00
_cell_angle_gamma 90.00
loop_
_atom_site_label
_atom_site_fract_x
_atom_site_fract_y
_atom_site_fract_z
Sm1 0.000 0.000 0.000
Y1 0.000 0.000 0.335
Pd1 0.000 0.500 0.169
Pd2 0.000 0.500 0.500
Pd3 0.500 0.500 0.000
Pd4 0.500 0.500 0.334
```



Record 3
# NdCu6O8

NdCu6O8 after structural relaxation (GGA-PBE, Alexandria via LeMat-Bulk).

Computed properties:
Formation energy without anion corrections in eV per atom: -1.02
Relative energy among the computed polymorphs in eV per atom: 0.0000

```
data_NdCu6O8
_chemical_formula_sum 'Nd4 Cu24 O32'
_symmetry_space_group_name_H-M 'F m -3 m'
_symmetry_Int_Tables_number 225
_symmetry_space_group_name_Hall '-F 4 2 3'
_cell_length_a 9.415
_cell_length_b 9.415
_cell_length_c 9.415
_cell_angle_alpha 90.00
_cell_angle_beta 90.00
_cell_angle_gamma 90.00
loop_
_atom_site_label
_atom_site_fract_x
_atom_site_fract_y
_atom_site_fract_z
Nd1 0.000 0.000 0.000
Cu1 0.000 0.250 0.250
O1 0.147 0.147 0.147
```



Record 4
# LaZn2Re

LaZn2Re after structural relaxation (GGA-PBE, Alexandria via LeMat-Bulk).

Computed properties:
Relative energy among the computed polymorphs in eV per atom: 0.2481
Formation energy in eV/atom: 0.459

```
data_LaZn2Re
_chemical_formula_sum 'La2 Zn4 Re2'
_symmetry_space_group_name_H-M 'I -4 m 2'
_symmetry_Int_Tables_number 119
_symmetry_space_group_name_Hall 'I -4 -2'
_cell_length_a 4.447
_cell_length_b 4.447
_cell_length_c 7.841
_cell_angle_alpha 90.00
_cell_angle_beta 90.00
_cell_angle_gamma 90.00
loop_
_atom_site_label
_atom_site_fract_x
_atom_site_fract_y
_atom_site_fract_z
La1 0.000 0.000 0.000
Zn1 0.000 0.000 0.500
Zn2 0.000 0.500 0.250
Re1 0.000 0.500 0.750
```



Record 5
# KEu3As

KEu3As after structural relaxation (GGA-PBE, Alexandria via LeMat-Bulk).

Computed properties:
Formation energy in eV/atom: -0.406

```
data_KEu3As
_chemical_formula_sum 'K1 Eu3 As1'
_symmetry_space_group_name_H-M 'P m -3 m'
_symmetry_Int_Tables_number 221
_symmetry_space_group_name_Hall '-P 4 2 3'
_cell_length_a 6.047
_cell_length_b 6.047
_cell_length_c 6.047
_cell_angle_alpha 90.00
_cell_angle_beta 90.00
_cell_angle_gamma 90.00
loop_
_atom_site_label
_atom_site_fract_x
_atom_site_fract_y
_atom_site_fract_z
K1 0.000 0.000 0.000
Eu1 0.000 0.500 0.500
As1 0.500 0.500 0.500
```



Record 6
# Tc2BMo

Tc2BMo after structural relaxation (GGA-PBE, Alexandria via LeMat-Bulk).

Computed properties:
Formation energy in eV/atom: -0.290

```
data_Tc2BMo
_chemical_formula_sum 'Tc8 B4 Mo4'
_symmetry_space_group_name_H-M 'C m c m'
_symmetry_Int_Tables_number 63
_symmetry_space_group_name_Hall '-C 2c 2'
_cell_length_a 3.015
_cell_length_b 9.220
_cell_length_c 7.254
_cell_angle_alpha 90.00
_cell_angle_beta 90.00
_cell_angle_gamma 90.00
loop_
_atom_site_label
_atom_site_fract_x
_atom_site_fract_y
_atom_site_fract_z
Tc1 0.000 0.138 0.054
B1 0.000 0.268 0.750
Mo1 0.000 0.430 0.250
```



Record 7
# LiInHg5

LiInHg5 after structural relaxation (GGA-PBE, Alexandria via LeMat-Bulk).

Computed properties:
Relative energy among the computed polymorphs in eV per atom: 0.0000
Formation energy in eV/atom: -0.077

```
data_LiInHg5
_chemical_formula_sum 'Li4 In4 Hg20'
_symmetry_space_group_name_H-M 'C 1 2/c 1'
_symmetry_Int_Tables_number 15
_symmetry_space_group_name_Hall '-C 2yc'
_cell_length_a 9.234
_cell_length_b 12.336
_cell_length_c 6.448
_cell_angle_alpha 90.00
_cell_angle_beta 105.88
_cell_angle_gamma 90.00
loop_
_atom_site_label
_atom_site_fract_x
_atom_site_fract_y
_atom_site_fract_z
Li1 0.000 0.042 0.250
In1 0.000 0.500 0.000
Hg1 0.000 0.278 0.250
Hg2 0.161 0.131 0.648
Hg3 0.236 0.364 0.845
```



Record 8
# Nd6Y3Mg

Nd6Y3Mg after structural relaxation (GGA-PBE, Alexandria via LeMat-Bulk).

Computed properties:
Relative energy among the computed polymorphs in eV per atom: 0.1780
Formation energy in eV/atom: 0.191

```
data_Nd6Y3Mg
_chemical_formula_sum 'Nd12 Y6 Mg2'
_symmetry_space_group_name_H-M 'P 1 21/c 1'
_symmetry_Int_Tables_number 14
_symmetry_space_group_name_Hall '-P 2ybc'
_cell_length_a 6.620
_cell_length_b 9.283
_cell_length_c 12.783
_cell_angle_alpha 90.00
_cell_angle_beta 118.45
_cell_angle_gamma 90.00
loop_
_atom_site_label
_atom_site_fract_x
_atom_site_fract_y
_atom_site_fract_z
Nd1 0.004 0.162 0.462
Nd2 0.406 0.660 0.494
Nd3 0.452 0.156 0.227
Y1 0.025 0.103 0.754
Y2 0.500 0.000 0.500
Mg1 0.000 0.000 0.000
```



| no. | E_tot (eV per atom) |
| --- | --- |
| 1 | -5.214 |
| 2 | -6.194 |
| 3 | -5.618 |
| 4 | -4.522 |
| 5 | -7.720 |
| 6 | -9.850 |
| 7 | -0.957 |
| 8 | -4.769 |